1.
CdGaPd2, relaxed, DFT GGA-PBE; uncorrected energy = -3.7124 eV/atom; DOS(E_F) = 0.40 states/eV/atom
1.0
-3.2221 1.8265 1.6656
0.9076 -1.6712 3.5883
3.9182 7.1837 4.6528
Ga Pd Cd
2 4 2
direct
0.5000 0.5000 0.0000 Ga
0.2500 0.7500 0.5000 Ga
0.6070 0.1250 0.2500 Pd
0.1430 0.6250 0.2500 Pd
0.3750 0.3930 0.7500 Pd
0.8750 0.8570 0.7500 Pd
0.0000 0.0000 0.0000 Cd
0.7500 0.2500 0.5000 Cd

2.
CdGaPd3, relaxed, DFT GGA-PBE; uncorrected energy = -3.1521 eV/atom; DOS(E_F) = 1.03 states/eV/atom; relative energy among the computed polymorphs = 113.07 kJ per mole of atoms
1.0
4.9658 0.0000 0.0000
0.0000 4.9658 0.0000
0.0000 0.0000 4.9658
Ga Pd Cd
1 3 1
direct
0.5000 0.5000 0.5000 Ga
0.0000 0.5000 0.0000 Pd
0.0000 0.0000 0.5000 Pd
0.5000 0.0000 0.0000 Pd
0.0000 0.0000 0.0000 Cd

3.
Cd5GaPd8, relaxed, DFT GGA-PBE; uncorrected energy = -3.8150 eV/atom; DOS(E_F) = 0.40 states/eV/atom
1.0
-4.3030 -0.4717 -5.3322
-3.4444 -0.3749 5.9301
3.2425 6.0305 -0.5384
Cd Ga Pd
5 1 8
direct
0.9513 0.3926 0.1094 Cd
0.8906 0.8418 0.2832 Cd
0.7168 0.6074 0.5586 Cd
0.5000 0.0000 0.5000 Cd
0.4414 0.1582 0.0487 Cd
0.2500 0.5000 0.7500 Ga
0.0900 0.7438 0.9797 Pd
0.0203 0.1103 0.7640 Pd
0.8358 0.2452 0.4149 Pd
0.5851 0.4208 0.8302 Pd
0.4094 0.5792 0.1642 Pd
0.6538 0.8897 0.9100 Pd
0.2360 0.2562 0.3462 Pd
0.1698 0.7548 0.5906 Pd